Computed, not measured: a relaxed structure of YTc2As at the PBE level of DFT.

The structure in CIF format:
```
data_YTc2As
_symmetry_space_group_name_H-M 'P 1'
_symmetry_Int_Tables_number 1
_symmetry_space_group_name_Hall 'P 1'
_cell_length_a 8.125
_cell_length_b 8.125
_cell_length_c 8.125
_cell_angle_alpha 23.35
_cell_angle_beta 23.35
_cell_angle_gamma 23.35
loop_
_atom_site_label
_atom_site_type_symbol
_atom_site_fract_x
_atom_site_fract_y
_atom_site_fract_z
Y1 Y 0.000 0.000 0.000
Tc1 Tc 0.236 0.236 0.236
Tc2 Tc 0.764 0.764 0.764
As1 As 0.500 0.500 0.500
```

Summary:
**Formation energy**: 212 meV per atom
**Symmetry**: R-3m (166)
**Energy above the most stable polymorph in this dataset**: 0.5709 eV per atom

***

Computed, not measured: a relaxed structure of YTc2As at the PBE level of DFT.

The structure in CIF format:
```
data_YTc2As
_symmetry_space_group_name_H-M 'P 1'
_symmetry_Int_Tables_number 1
_symmetry_space_group_name_Hall 'P 1'
_cell_length_a 4.558
_cell_length_b 4.558
_cell_length_c 4.558
_cell_angle_alpha 60.00
_cell_angle_beta 60.00
_cell_angle_gamma 60.00
loop_
_atom_site_label
_atom_site_type_symbol
_atom_site_fract_x
_atom_site_fract_y
_atom_site_fract_z
Y1 Y 0.000 0.000 0.000
Tc1 Tc 0.250 0.250 0.250
Tc2 Tc 0.750 0.750 0.750
As1 As 0.500 0.500 0.500
```

Summary:
**Formation energy**: 107 meV per atom
**Symmetry**: Fm-3m (225)
**Energy above the most stable polymorph in this dataset**: 0.4661 eV per atom

***

Computed, not measured: a relaxed structure of YTcAs at the PBE level of DFT.

The structure in CIF format:
```
data_YTcAs
_symmetry_space_group_name_H-M 'P 1'
_symmetry_Int_Tables_number 1
_symmetry_space_group_name_Hall 'P 1'
_cell_length_a 4.631
_cell_length_b 4.631
_cell_length_c 4.631
_cell_angle_alpha 60.00
_cell_angle_beta 60.00
_cell_angle_gamma 60.00
loop_
_atom_site_label
_atom_site_type_symbol
_atom_site_fract_x
_atom_site_fract_y
_atom_site_fract_z
Y1 Y 0.000 0.000 0.000
Tc1 Tc 0.250 0.250 0.250
As1 As 0.750 0.750 0.750
```

Summary:
**Formation energy**: 647 meV per atom
**Symmetry**: F-43m (216)
**Energy above the most stable polymorph in this dataset**: 1.1358 eV per atom

***

Computed, not measured: a relaxed structure of Y2TcAs at the PBE level of DFT.

The structure in CIF format:
```
data_Y2TcAs
_symmetry_space_group_name_H-M 'P 1'
_symmetry_Int_Tables_number 1
_symmetry_space_group_name_Hall 'P 1'
_cell_length_a 4.941
_cell_length_b 4.941
_cell_length_c 4.941
_cell_angle_alpha 60.00
_cell_angle_beta 60.00
_cell_angle_gamma 60.00
loop_
_atom_site_label
_atom_site_type_symbol
_atom_site_fract_x
_atom_site_fract_y
_atom_site_fract_z
Y1 Y 0.250 0.250 0.250
Y2 Y 0.750 0.750 0.750
Tc1 Tc 0.000 0.000 0.000
As1 As 0.500 0.500 0.500
```

Summary:
**Formation energy**: -353 meV per atom
**Symmetry**: Fm-3m (225)
**Energy above the most stable polymorph in this dataset**: 0.2707 eV per atom

***

Computed, not measured: a relaxed structure of YTc2As at the PBE level of DFT.

The structure in CIF format:
```
data_YTc2As
_symmetry_space_group_name_H-M 'P 1'
_symmetry_Int_Tables_number 1
_symmetry_space_group_name_Hall 'P 1'
_cell_length_a 3.206
_cell_length_b 4.415
_cell_length_c 5.187
_cell_angle_alpha 90.00
_cell_angle_beta 104.11
_cell_angle_gamma 90.00
loop_
_atom_site_label
_atom_site_type_symbol
_atom_site_fract_x
_atom_site_fract_y
_atom_site_fract_z
Y1 Y 0.000 0.000 0.000
Tc1 Tc 0.244 0.500 0.637
Tc2 Tc 0.595 0.000 0.494
As1 As 0.587 0.500 0.226
```

Summary:
**Formation energy**: -134 meV per atom
**Symmetry**: Pm (6)
**Energy above the most stable polymorph in this dataset**: 0.2250 eV per atom

***

Computed, not measured: a relaxed structure of Y2TcAs at the PBE level of DFT.

The structure in CIF format:
```
data_Y2TcAs
_symmetry_space_group_name_H-M 'P 1'
_symmetry_Int_Tables_number 1
_symmetry_space_group_name_Hall 'P 1'
_cell_length_a 5.871
_cell_length_b 5.871
_cell_length_c 5.871
_cell_angle_alpha 138.69
_cell_angle_beta 138.69
_cell_angle_gamma 59.84
loop_
_atom_site_label
_atom_site_type_symbol
_atom_site_fract_x
_atom_site_fract_y
_atom_site_fract_z
Y1 Y 0.000 0.000 0.000
Y2 Y 0.750 0.250 0.500
Tc1 Tc 0.500 0.500 0.000
As1 As 0.250 0.750 0.500
```

Summary:
**Formation energy**: -242 meV per atom
**Symmetry**: I-4m2 (119)
**Energy above the most stable polymorph in this dataset**: 0.3816 eV per atom